Below is crystalline TbPm7Dy12 at its relaxed geometry, with properties calculated at the PBE level.

Formation energy from the elements, meV per atom: 233.5
V, A^3/atom: 33.628
Magnetic moment, μB per cell: 0.00
Symmetry: R-3, No. 148
VASP energy, eV per atom: -4.422
Polymorph energy (0 for the lowest one), meV/atom: 0

a b c (Å): 8.7812 8.7812 8.7812
angles (deg): 86.08 86.08 86.08
With the nearest neighbours (Å) after each atom.
Atoms (fractional coordinates):
Tb (0.0000, 0.0000, 0.0000)  6 Dy 3.42
Pm (0.0772, 0.1544, 0.3985)  3 Pm 3.45-3.48, 7 Dy 3.47-3.82
Pm (0.1544, 0.3985, 0.0772)  3 Pm 3.45-3.48, 7 Dy 3.47-3.82
Pm (0.3985, 0.0772, 0.1544)  3 Pm 3.45-3.48, 7 Dy 3.47-3.82
Pm (0.5000, 0.5000, 0.5000)  6 Dy 3.31
Pm (0.6015, 0.9228, 0.8456)  3 Pm 3.45-3.48, 7 Dy 3.47-3.82
Pm (0.8456, 0.6015, 0.9228)  3 Pm 3.45-3.48, 7 Dy 3.47-3.82
Pm (0.9228, 0.8456, 0.6015)  3 Pm 3.45-3.48, 7 Dy 3.47-3.82
Dy (0.1339, 0.4962, 0.6177)  5 Dy 3.23-3.62, 2 Pm 3.31-3.47
Dy (0.1469, 0.7465, 0.2732)  4 Dy 3.26-3.62, 1 Tb 3.42, 2 Pm 3.50-3.60
Dy (0.2535, 0.7268, 0.8531)  4 Dy 3.26-3.62, 1 Tb 3.42, 2 Pm 3.50-3.60
Dy (0.2732, 0.1469, 0.7465)  4 Dy 3.26-3.62, 1 Tb 3.42, 2 Pm 3.50-3.60
Dy (0.3823, 0.8661, 0.5038)  5 Dy 3.23-3.62, 2 Pm 3.31-3.47
Dy (0.4962, 0.6177, 0.1339)  5 Dy 3.23-3.62, 2 Pm 3.31-3.47
Dy (0.5038, 0.3823, 0.8661)  5 Dy 3.23-3.62, 2 Pm 3.31-3.47
Dy (0.6177, 0.1339, 0.4962)  5 Dy 3.23-3.62, 2 Pm 3.31-3.47
Dy (0.7268, 0.8531, 0.2535)  4 Dy 3.26-3.62, 1 Tb 3.42, 2 Pm 3.50-3.60
Dy (0.7465, 0.2732, 0.1469)  4 Dy 3.26-3.62, 1 Tb 3.42, 2 Pm 3.50-3.60
Dy (0.8531, 0.2535, 0.7268)  4 Dy 3.26-3.62, 1 Tb 3.42, 2 Pm 3.50-3.60
Dy (0.8661, 0.5038, 0.3823)  5 Dy 3.23-3.62, 2 Pm 3.31-3.47